# CaLaRu2

A relaxed CaLaRu2 crystal (GGA-PBE, Alexandria).

Cell: 7.4682 7.4682 6.2355 Å, 90.00 90.00 90.00°
Space group I-42d (No. 122)
Symmetry-distinct sites (fractional):
1 Ca 0.0000 0.0000 0.0000 (multiplicity 4)
2 La 0.0000 0.0000 0.5000 (multiplicity 4)
3 Ru 0.2267 0.2500 0.6250 (multiplicity 8)

Output
Formation energy from the elements   0.497 eV/atom
Calculated total energy   -5.8731 eV per atom